Entry from the Alexandria database: a relaxed structure of LaMgRe2 (GGA-PBEsol).

a = 4.0472 Å, b = 4.0472 Å, c = 4.5948 Å
α = 90.00°, β = 90.00°, γ = 90.00°
Sites, in units of the cell vectors:
1 La 0.0000 0.0000 0.0000
2 Mg 0.5000 0.5000 0.0000
3 Re 0.0000 0.5000 0.5000
4 Re 0.5000 0.0000 0.5000

Summary:
Formation enthalpy at 0 K   0.821 eV/atom
Space-group type   P4/mmm
Total magnetic moment   0.00 μB/atom